(1)
DFT (PBE+U) results for a relaxed structure of PuMnTlF6.

Cell and atoms, written as extended XYZ:
```
18
Lattice="-4.886 -1.921 3.122 5.170 -3.252 0.114 3.480 5.851 9.048" Properties=species:S:1:pos:R:3 pbc="T T T"
F 2.349 0.586 7.918
F 2.980 3.040 8.942
F 0.783 -2.363 3.342
F -0.038 3.707 9.672
F 1.415 0.092 4.366
F 1.337 1.091 10.835
F 3.297 -2.324 5.204
F 2.427 -0.413 1.449
F -0.640 0.714 8.984
F 4.403 -0.036 3.300
F 0.466 3.002 7.080
F 3.801 -3.029 2.612
Tl 0.000 0.000 0.000
Tl 1.740 2.925 4.524
Pu -0.664 -0.902 4.381
Pu 4.428 1.580 7.903
Mn 1.076 2.023 8.905
Mn 2.688 -1.345 3.379
```

SG: P-31c (163)

=====

(2)
DFT (PBE+U) results for a relaxed structure of RbMnF4.

Cell and atoms, written as extended XYZ:
```
24
Lattice="7.946 0.000 0.000 0.000 6.158 0.004 0.000 0.125 7.972" Properties=species:S:1:pos:R:3 pbc="T T T"
F 5.803 0.661 3.969
F 2.143 5.622 4.007
F 3.573 1.763 0.425
F 0.521 1.871 7.603
F 0.400 1.826 4.411
F 3.452 1.808 3.617
F 1.830 5.560 0.021
F 4.087 5.691 1.861
F 3.859 0.592 6.115
F 7.426 4.412 0.373
F 7.833 5.753 5.847
F 7.546 4.457 3.565
F 4.494 4.475 4.359
F 6.116 0.723 7.955
F 4.373 4.520 7.551
F 0.114 0.530 2.130
Mn 0.000 0.062 3.986
Mn 3.973 0.000 0.000
Mn 3.973 0.062 3.986
Mn 0.000 0.000 0.000
Rb 5.593 3.038 2.026
Rb 1.620 3.183 1.964
Rb 2.354 3.245 5.950
Rb 6.327 3.100 6.012
```

SG: P2_1/c (14)

=====

(3)
DFT (PBE+U) results for a relaxed structure of Rb2MnF5.

Cell and atoms, written as extended XYZ:
```
8
Lattice="-3.508 3.306 3.867 -3.626 -4.919 0.916 2.432 -1.192 3.226" Properties=species:S:1:pos:R:3 pbc="T T T"
Mn 0.000 0.000 0.000
F -1.553 -0.351 1.041
F -3.533 1.515 3.224
F -3.600 -3.128 1.558
F 1.216 -0.596 1.613
F -5.581 -1.262 3.741
Rb -0.538 1.057 3.546
Rb -0.597 -3.056 2.071
```

SG: P4/mmm (123)

=====

(4)
DFT (PBE+U) results for a relaxed structure of Rb3MnF7.

Cell and atoms, written as extended XYZ:
```
22
Lattice="5.975 0.000 0.000 0.000 8.209 0.000 0.000 0.000 8.209" Properties=species:S:1:pos:R:3 pbc="T T T"
F 0.000 5.410 6.903
F 4.650 3.195 7.299
F 2.987 0.000 0.000
F 4.650 0.910 3.195
F 1.325 7.299 5.014
F 0.000 6.903 2.798
F 4.650 5.014 0.910
F 4.650 7.299 5.014
F 0.000 1.306 5.410
F 0.000 2.798 1.306
F 2.987 4.104 4.104
F 1.325 5.014 0.910
F 1.325 0.910 3.195
F 1.325 3.195 7.299
Mn 0.000 4.104 0.000
Mn 0.000 0.000 4.104
Rb 2.987 6.632 2.528
Rb 0.000 0.000 0.000
Rb 2.987 2.528 1.576
Rb 2.987 1.576 5.680
Rb 0.000 4.104 4.104
Rb 2.987 5.680 6.632
```

SG: P4/mbm (127)

=====

(5)
DFT (PBE+U) results for a relaxed structure of RbMn3F.

Cell and atoms, written as extended XYZ:
```
5
Lattice="7.004 0.000 0.000 0.000 7.004 0.000 0.000 0.000 7.004" Properties=species:S:1:pos:R:3 pbc="T T T"
Mn 0.000 3.502 0.000
Mn 0.000 0.000 3.502
Mn 3.502 0.000 0.000
F 3.502 3.502 3.502
Rb 0.000 0.000 0.000
```

Distance to the lowest polymorph of the same formula: 91.2 kJ/mol of atoms
SG: Pm-3m (221)

=====

(6)
DFT (PBE+U) results for a relaxed structure of Rb3Mn6F20.

Cell and atoms, written as extended XYZ:
```
29
Lattice="6.857 0.000 3.959 2.286 6.465 3.959 0.000 0.000 7.917" Properties=species:S:1:pos:R:3 pbc="T T T"
F 5.341 2.143 3.959
F 0.000 0.000 5.293
F 3.570 2.525 9.651
F 0.758 2.143 1.312
F 0.758 2.143 6.605
F 3.801 4.321 3.959
F 6.573 2.525 7.917
F 0.000 0.000 2.625
F 4.571 1.109 7.917
F 2.570 3.940 7.917
F 4.571 5.355 7.917
F 2.273 0.000 6.605
F 5.572 3.940 9.651
F 1.528 4.321 2.646
F 1.528 4.321 5.271
F 5.572 3.940 6.184
F 2.273 0.000 1.312
F 4.584 0.000 2.646
F 3.570 2.525 6.184
F 4.584 0.000 5.271
Rb 2.286 1.616 3.959
Rb 0.000 0.000 0.000
Rb 6.857 4.848 11.876
Mn 6.694 4.733 7.917
Mn 3.510 4.733 9.756
Mn 5.633 1.731 9.756
Mn 5.633 1.731 6.079
Mn 2.448 1.731 7.917
Mn 3.510 4.733 6.079
```

SG: Fm-3m (225)

=====

Calculated values (eV per atom) of total DFT energy (no corrections) for the records, taken in order: -6.789, -5.319, -5.055, -4.753, -3.812, -5.172.